(1)
Entry from the Alexandria database: a geometry-optimized TbNd3Se4 structure (PBE).

Geometry as POSCAR:
```
TbNd3Se4
1.0
-0.1401 2.5923 -3.2295
-4.0132 -4.8435 -3.7138
-4.4776 4.4044 3.7296
Tb Nd Se
1 3 4
direct
0.5000 0.0000 0.0000
0.0000 0.0000 0.5000
0.5000 0.5000 0.5000
0.0000 0.5000 0.0000
0.0000 0.2414 0.2414
0.5000 0.7544 0.2456
0.0000 0.7585 0.7585
0.5000 0.2456 0.7544
```

Values from the calculation:
The formation energy (no corrections) is -1818.6 meV/atom. Its space-group type is Cmmm (65). The energy relative to the lowest polymorph listed for this composition is 4 meV per atom. The raw total energy comes out at -47.42 eV per cell.

---

(2)
Entry from the Alexandria database: a geometry-optimized Ac8Te3Ir3Br structure (PBE).

Geometry as POSCAR:
```
Ac8Te3Ir3Br
1.0
9.0567 0.0000 0.0000
-4.5283 7.8431 -0.0285
0.0000 -5.2024 7.6815
Ac Te Ir Br
8 3 3 1
direct
0.2641 0.5282 0.2924
0.7359 0.4718 0.7076
0.7443 0.4887 0.2777
0.2557 0.5113 0.7223
0.7444 0.0334 0.2779
0.2556 0.9666 0.7221
0.2890 0.0334 0.2779
0.7110 0.9666 0.7221
0.0000 0.0000 0.0000
0.0000 0.5000 0.0000
0.5000 0.5000 0.0000
0.5000 0.0000 0.5000
0.5000 0.5000 0.5000
0.0000 0.5000 0.5000
0.0000 0.0000 0.5000
```

Values from the calculation:
The formation energy (no corrections) is -1036.4 meV/atom. Its space-group type is R-3m (166). The raw total energy comes out at -86.09 eV per cell.

---

(3)
Entry from the Alexandria database: a geometry-optimized Li12H5Pb3 structure (PBE).

Geometry as POSCAR:
```
Li12H5Pb3
1.0
-0.4991 -9.6707 6.5279
3.8142 -2.7174 -10.6983
7.3301 7.6444 4.9211
Pb H Li
12 20 48
direct
0.7500 0.3750 0.1250
0.8750 0.7500 0.1250
0.3750 0.7500 0.6250
0.2500 0.1250 0.3750
0.8750 0.1250 0.2500
0.3750 0.6250 0.2500
0.6250 0.3750 0.7500
0.1250 0.8750 0.7500
0.7500 0.8750 0.6250
0.6250 0.2500 0.3750
0.1250 0.2500 0.8750
0.2500 0.6250 0.8750
0.1250 0.3750 0.2500
0.0000 0.5000 0.0000
0.0000 0.0000 0.0000
0.3750 0.2500 0.1250
0.5000 0.0000 0.5000
0.5000 0.5000 0.0000
0.1250 0.7500 0.3750
0.7500 0.1250 0.8750
0.7500 0.6250 0.3750
0.3750 0.1250 0.7500
0.6250 0.8750 0.2500
0.5000 0.5000 0.5000
0.5000 0.0000 0.0000
0.0000 0.0000 0.5000
0.2500 0.3750 0.6250
0.2500 0.8750 0.1250
0.0000 0.5000 0.5000
0.8750 0.2500 0.6250
0.6250 0.7500 0.8750
0.8750 0.6250 0.7500
0.6883 0.0959 0.9955
0.3072 0.4955 0.3996
0.0045 0.4041 0.3117
0.4955 0.1883 0.0959
0.5924 0.6883 0.6928
0.0045 0.6004 0.1928
0.3072 0.8117 0.4076
0.1004 0.9076 0.0959
0.6004 0.0045 0.6928
0.6883 0.5924 0.1928
0.8117 0.5045 0.4041
0.8072 0.8996 0.9955
0.0959 0.6883 0.4955
0.4041 0.3996 0.0924
0.0924 0.8996 0.4041
0.4076 0.0959 0.6004
0.0924 0.1928 0.1883
0.5045 0.6928 0.1004
0.8072 0.9076 0.3117
0.0959 0.4076 0.1004
0.4041 0.0045 0.8117
0.6004 0.5959 0.4076
0.8996 0.8072 0.4955
0.8117 0.3072 0.9076
0.3996 0.4041 0.5924
0.1004 0.1928 0.5045
0.1883 0.6928 0.0924
0.1928 0.0924 0.6883
0.5959 0.9955 0.1883
0.9041 0.5924 0.8996
0.4955 0.3072 0.8996
0.5924 0.9041 0.3996
0.9076 0.8072 0.8117
0.9076 0.1004 0.5959
0.9041 0.3117 0.5045
0.1928 0.1004 0.0045
0.5959 0.6004 0.9076
0.3996 0.9955 0.3072
0.3117 0.4076 0.8072
0.1883 0.4955 0.5959
0.8996 0.0924 0.9041
0.6928 0.1883 0.5924
0.5045 0.8117 0.9041
0.9955 0.3996 0.8072
0.4076 0.3117 0.3072
0.9955 0.5959 0.6883
0.6928 0.5045 0.6004
0.3117 0.9041 0.0045
```

Values from the calculation:
Its space-group type is Ia-3d (230). The raw total energy comes out at -217.10 eV per cell.